Entry 1:
Compound: OsRh3
Source: Alexandria
Functional: PBE
Structure: optimized geometry

Unit cell a=3.8306 b=3.8306 c=7.7198 alpha=90.00 beta=90.00 gamma=90.00
Last column: nearest neighbours and their distance in Å.
Space group I4/mmm (No. 139)
Inequivalent atoms, fractional coordinates:
Os1 0.0000 0.0000 0.0000 x2  12 Rh 2.71-2.72
Rh1 0.0000 0.0000 0.5000 x2  4 Os 2.71, 8 Rh 2.72
Rh2 0.0000 0.5000 0.2500 x4  8 Rh 2.71-2.72, 4 Os 2.72

## Properties
- Fermi-level density of states: 9.87 states/eV/cell
- Calculated density: 14.6 g/cm³
- DFT formation energy: 66 meV/atom
- Magnetic moment: 0.00 μB per formula unit



Entry 2:
Compound: Tb4Ho5Mg
Source: Alexandria
Functional: PBE
Structure: optimized geometry

Unit cell a=4.0353 b=4.0353 c=19.0136 alpha=90.00 beta=90.00 gamma=90.00
Last column: nearest neighbours and their distance in Å.
Space group P4/mmm (No. 123)
Inequivalent atoms, fractional coordinates:
Tb1 0.0000 0.0000 0.1017 x2  8 Ho 3.42-3.45, 1 Tb 3.74
Tb2 0.0000 0.0000 0.2985 x2  8 Ho 3.40-3.51, 1 Tb 3.74
Ho1 0.5000 0.5000 0.0000 x1  8 Tb 3.45, 2 Ho 3.82
Ho2 0.5000 0.5000 0.2009 x2  8 Tb 3.40-3.42
Ho3 0.5000 0.5000 0.4056 x2  4 Mg 3.37, 4 Tb 3.51, 1 Ho 3.59
Mg1 0.0000 0.0000 0.5000 x1  8 Ho 3.37

## Properties
- Fermi-level density of states: 20.45 states/eV/cell
- Calculated density: 8.0 g/cm³
- DFT formation energy: 104 meV/atom
- Magnetic moment: 0.00 μB per formula unit